Density functional theory data (PBE) for a geometry-optimized NdSmPuSc structure.

- M_tot (μB/atom) = 1.87
- calculated formation energy (eV per atom) = 0.21
- symmetry = No. 216
- N(E_F) (states/eV/f.u.) = 13.0
- calculated total energy (eV/atom) = -7.33

Cell lengths 5.546, 5.546, 5.546 Å; angles 60.00, 60.00, 60.00 degrees
Element x y z (fractional)
Nd: 0.000 0.000 0.000
Sm: 0.500 0.500 0.500
Pu: 0.750 0.750 0.750
Sc: 0.250 0.250 0.250